# 1
# RbLaFe2Ni

A relaxed RbLaFe2Ni crystal (PBE, Alexandria).

Calculated values
The calculation puts the total moment at 5.9 μB/cell. The calculated total energy is -24.868 eV per cell.

Cell: 4.870 4.870 5.116 Å, 90.00 90.00 90.00°
Space group P4/mmm (No. 123)
Symmetry-distinct sites (fractional):
Rb 0.000 0.000 0.000 (multiplicity 1)
La 0.500 0.500 0.000 (multiplicity 1)
Fe 0.000 0.500 0.500 (multiplicity 2)
Ni 0.500 0.500 0.500 (multiplicity 1)



# 2
# NdNi

A relaxed NdNi crystal (PBE, Alexandria).

Calculated values
The calculation puts the total moment at 0.0 μB/cell. The calculated total energy is -22.390 eV per cell.

Cell: 3.851 4.313 5.631 Å, 90.00 109.83 90.00°
Space group P2_1/m (No. 11)
Symmetry-distinct sites (fractional):
Nd 0.138 0.250 0.275 (multiplicity 2)
Ni 0.429 0.250 0.858 (multiplicity 2)



# 3
# Tl2PtF6

A relaxed Tl2PtF6 crystal (PBE, Alexandria).

Calculated values
The calculation puts the total moment at 0.0 μB/cell. The formation energy without anion corrections is -1.676 eV/atom.

Cell: 8.786 8.786 8.786 Å, 90.00 90.00 90.00°
Space group Fm-3m (No. 225)
Symmetry-distinct sites (fractional):
Tl 0.250 0.250 0.250 (multiplicity 8)
Pt 0.000 0.000 0.000 (multiplicity 4)
F 0.000 0.000 0.225 (multiplicity 24)



# 4
# HfTaAg2Hg

A relaxed HfTaAg2Hg crystal (PBE, Alexandria).

Calculated values
The calculation puts the total moment at 0.0 μB/cell. The calculated total energy is -18.840 eV per cell.

Cell: 4.992 4.992 5.200 Å, 90.00 90.00 90.00°
Space group P4/mmm (No. 123)
Symmetry-distinct sites (fractional):
Hf 0.000 0.000 0.000 (multiplicity 1)
Ta 0.500 0.500 0.500 (multiplicity 1)
Ag 0.000 0.500 0.000 (multiplicity 2)
Hg 0.000 0.000 0.500 (multiplicity 1)



# 5
# ReNiHg2

A relaxed ReNiHg2 crystal (PBE, Alexandria).

Calculated values
The calculation puts the total moment at 7.5 μB/cell. The polymorph energy (0 for the lowest one) comes out at 674 meV per atom.

Cell: 3.913 3.913 19.637 Å, 90.00 90.00 90.00°
Space group I-42d (No. 122)
Symmetry-distinct sites (fractional):
Re 0.000 0.000 0.000 (multiplicity 4)
Ni 0.000 0.000 0.500 (multiplicity 4)
Hg 0.247 0.250 0.625 (multiplicity 8)



# 6
# SrPW2

A relaxed SrPW2 crystal (PBE, Alexandria).

Calculated values
The calculation puts the total moment at 0.0 μB/cell. The calculated total energy is -59.400 eV per cell.

Cell: 3.094 5.708 9.530 Å, 90.00 90.00 90.00°
Space group Imm2 (No. 44)
Symmetry-distinct sites (fractional):
Sr 0.000 0.000 0.000 (multiplicity 2)
P 0.000 0.500 0.767 (multiplicity 2)
W 0.000 0.000 0.469 (multiplicity 2)
W 0.000 0.500 0.183 (multiplicity 2)



# 7
# LaNd2Zr

A relaxed LaNd2Zr crystal (PBE, Alexandria).

Calculated values
The calculation puts the total moment at 0.0 μB/cell. The polymorph energy (0 for the lowest one) comes out at 56 meV per atom.

Cell: 4.092 4.092 7.610 Å, 90.00 90.00 90.00°
Space group P4/mmm (No. 123)
Symmetry-distinct sites (fractional):
La 0.000 0.000 0.000 (multiplicity 1)
Nd 0.500 0.500 0.285 (multiplicity 2)
Zr 0.000 0.000 0.500 (multiplicity 1)



# 8
# Th3AlSi2Rh9

A relaxed Th3AlSi2Rh9 crystal (PBE, Alexandria).

Calculated values
The calculation puts the total moment at 0.0 μB/cell. The formation energy without anion corrections is -0.684 eV/atom.

Cell: 6.8133 6.8133 6.9499 Å, 90.00 90.00 120.00°
Space group P-3m1 (No. 164)
Symmetry-distinct sites (fractional):
Th 0.0000 0.0000 0.0000 (multiplicity 1)
Th 0.3333 0.6667 0.6662 (multiplicity 2)
Al 0.0000 0.0000 0.5000 (multiplicity 1)
Si 0.3333 0.6667 0.1589 (multiplicity 2)
Rh 0.0000 0.5000 0.0000 (multiplicity 3)
Rh 0.1741 0.3482 0.3382 (multiplicity 6)



# 9
# Ac2Zn3Ge5

A relaxed Ac2Zn3Ge5 crystal (PBE, Alexandria).

Calculated values
The calculation puts the total moment at 0.0 μB/cell. The polymorph energy (0 for the lowest one) comes out at 49 meV per atom.

Cell: 4.770 4.770 9.689 Å, 90.00 90.00 90.00°
Space group P-4m2 (No. 115)
Symmetry-distinct sites (fractional):
Ac 0.000 0.500 0.243 (multiplicity 2)
Zn 0.000 0.000 0.000 (multiplicity 1)
Zn 0.000 0.500 0.879 (multiplicity 2)
Ge 0.000 0.000 0.500 (multiplicity 1)
Ge 0.000 0.500 0.618 (multiplicity 2)
Ge 0.500 0.500 0.000 (multiplicity 1)
Ge 0.500 0.500 0.500 (multiplicity 1)



# 10
# Si2SnRhO

A relaxed Si2SnRhO crystal (PBE, Alexandria).

Calculated values
The calculation puts the total moment at 0.0 μB/cell. The polymorph energy (0 for the lowest one) comes out at 92 meV per atom. The formation energy without anion corrections is -0.694 eV/atom.

Cell: 14.668 2.888 3.932 Å, 90.00 91.71 90.00°
Space group Cm (No. 8)
Symmetry-distinct sites (fractional):
Si 0.000 0.000 0.000 (multiplicity 2)
Si 0.134 0.500 0.653 (multiplicity 2)
Sn 0.334 0.500 0.326 (multiplicity 2)
Rh 0.160 0.000 0.159 (multiplicity 2)
O 0.006 0.500 0.716 (multiplicity 2)



# 11
# Tb2YCd

A relaxed Tb2YCd crystal (PBE, Alexandria).

Calculated values
The calculation puts the total moment at 0.0 μB/cell. The polymorph energy (0 for the lowest one) comes out at 0 meV per atom.

Cell: 3.820 5.370 11.473 Å, 90.00 90.00 90.00°
Space group Immm (No. 71)
Symmetry-distinct sites (fractional):
Tb 0.000 0.000 0.223 (multiplicity 4)
Y 0.000 0.500 0.000 (multiplicity 2)
Cd 0.000 0.500 0.500 (multiplicity 2)



# 12
# RbLi2Hg9

A relaxed RbLi2Hg9 crystal (PBE, Alexandria).

Calculated values
The calculation puts the total moment at 0.0 μB/cell. The calculated total energy is -9.651 eV per cell.

Cell: 9.2456 9.2456 4.3682 Å, 90.00 90.00 120.00°
Space group P6/mmm (No. 191)
Symmetry-distinct sites (fractional):
Rb 0.0000 0.0000 0.0000 (multiplicity 1)
Li 0.3333 0.6667 0.0000 (multiplicity 2)
Hg 0.0000 0.5000 0.0000 (multiplicity 3)
Hg 0.2019 0.4038 0.5000 (multiplicity 6)